BeSbCl2: relaxed, PBE.

```
16
Lattice="6.509 0.000 0.000 0.000 6.509 0.000 0.000 0.000 9.152" Properties=species:S:1:pos:R:3 pbc="T T T"
Be 0.000 0.000 0.000
Be 0.000 3.254 2.288
Be 3.254 0.000 6.864
Be 3.254 3.254 4.576
Sb 0.000 0.000 4.576
Sb 0.000 3.254 6.864
Sb 3.254 0.000 2.288
Sb 3.254 3.254 0.000
Cl 0.299 1.627 1.144
Cl 1.627 3.554 3.432
Cl 1.627 6.209 8.008
Cl 2.955 1.627 5.720
Cl 3.554 4.881 5.720
Cl 4.881 0.299 8.008
Cl 4.881 2.955 3.432
Cl 6.209 4.881 1.144
```

Output
raw formation energy: -316 meV per atom
calculated volume: 388 Å³/cell
energy: -3.2019 eV/atom
space group: I-42d, No. 122
distance to the lowest polymorph of the same formula: 367 meV per atom